# Pa2SbP2N2 GGA-PBE relaxed
# Crystal system: trigonal
# ΔE_f (raw) in eV per atom: -0.699
# V in Å³/f.u.: 145.45
# Total moment in μB per formula unit: 0.00
data_Pa2SbP2N2
_space_group_name_H-M_alt 'P -3 m 1'
_space_group_IT_number 164
_space_group_name_Hall '-P 3 2"'
_cell_length_a 3.7720
_cell_length_b 3.7720
_cell_length_c 11.8044
_cell_angle_alpha 90.00
_cell_angle_beta 90.00
_cell_angle_gamma 120.00
loop_
_atom_site_label
_atom_site_type_symbol
_atom_site_fract_x
_atom_site_fract_y
_atom_site_fract_z
Pa1 Pa 0.3333 0.6667 0.2592
Sb1 Sb 0.0000 0.0000 0.5000
P1 P 0.0000 0.0000 0.0867
N1 N 0.3333 0.6667 0.7209

# RuRhNF2 GGA-PBE relaxed
# Crystal system: tetragonal
# ΔE_f (raw) in eV per atom: 0.163
# V in Å³/f.u.: 66.79
# Total moment in μB per formula unit: 1.89
# Energy above the lowest structure with this stoichiometry in meV per atom: 0
data_RuRhNF2
_space_group_name_H-M_alt 'P 4/m m m'
_space_group_IT_number 123
_space_group_name_Hall '-P 4 2'
_cell_length_a 4.230
_cell_length_b 4.230
_cell_length_c 3.732
_cell_angle_alpha 90.00
_cell_angle_beta 90.00
_cell_angle_gamma 90.00
loop_
_atom_site_label
_atom_site_type_symbol
_atom_site_fract_x
_atom_site_fract_y
_atom_site_fract_z
Ru1 Ru 0.000 0.000 0.000
Rh1 Rh 0.500 0.500 0.500
N1 N 0.000 0.000 0.500
F1 F 0.000 0.500 0.000

# BaBeCu2 GGA-PBE relaxed
# Calculated formation energy in kJ/mol of atoms: 63.1
# Crystal system: tetragonal
# V in Å³/f.u.: 84.64
# Total moment in μB per formula unit: 0.00
data_BaBeCu2
_space_group_name_H-M_alt 'I -4 m 2'
_space_group_IT_number 119
_space_group_name_Hall 'I -4 -2'
_cell_length_a 4.890
_cell_length_b 4.890
_cell_length_c 7.079
_cell_angle_alpha 90.00
_cell_angle_beta 90.00
_cell_angle_gamma 90.00
loop_
_atom_site_label
_atom_site_type_symbol
_atom_site_fract_x
_atom_site_fract_y
_atom_site_fract_z
Ba1 Ba 0.000 0.000 0.000
Be1 Be 0.000 0.500 0.750
Cu1 Cu 0.000 0.000 0.500
Cu2 Cu 0.000 0.500 0.250

# V3Ni3Rh2 GGA-PBE relaxed
# Calculated formation energy in kJ/mol of atoms: -22.5
# Crystal system: orthorhombic
# V in Å³/f.u.: 100.57
# Total moment in μB per formula unit: 0.00
# Energy above the lowest structure with this stoichiometry in meV per atom: 0
data_V3Ni3Rh2
_space_group_name_H-M_alt 'I m m m'
_space_group_IT_number 71
_space_group_name_Hall '-I 2 2'
_cell_length_a 3.794
_cell_length_b 3.797
_cell_length_c 13.962
_cell_angle_alpha 90.00
_cell_angle_beta 90.00
_cell_angle_gamma 90.00
loop_
_atom_site_label
_atom_site_type_symbol
_atom_site_fract_x
_atom_site_fract_y
_atom_site_fract_z
V1 V 0.000 0.000 0.000
V2 V 0.000 0.500 0.375
Ni1 Ni 0.000 0.000 0.500
Ni2 Ni 0.000 0.500 0.118
Rh1 Rh 0.000 0.000 0.250

# NaSc2Au2 GGA-PBE relaxed
# Calculated formation energy in kJ/mol of atoms: -52.8
# Crystal system: tetragonal
# V in Å³/f.u.: 108.02
# Total moment in μB per formula unit: 0.00
# Energy above the lowest structure with this stoichiometry in meV per atom: 0
data_NaSc2Au2
_space_group_name_H-M_alt 'P 4/m b m'
_space_group_IT_number 127
_space_group_name_Hall '-P 4 2ab'
_cell_length_a 7.989
_cell_length_b 7.989
_cell_length_c 3.385
_cell_angle_alpha 90.00
_cell_angle_beta 90.00
_cell_angle_gamma 90.00
loop_
_atom_site_label
_atom_site_type_symbol
_atom_site_fract_x
_atom_site_fract_y
_atom_site_fract_z
Na1 Na 0.000 0.000 0.000
Sc1 Sc 0.154 0.346 0.500
Au1 Au 0.139 0.639 0.000

# Np5Al2S12 GGA-PBE relaxed
# Crystal system: monoclinic
# ΔE_f (raw) in eV per atom: -1.227
# V in Å³/f.u.: 427.08
# Total moment in μB per formula unit: 10.35
data_Np5Al2S12
_space_group_name_H-M_alt 'C 1 2/m 1'
_space_group_IT_number 12
_cell_length_a 15.241
_cell_length_b 6.905
_cell_length_c 8.460
_cell_angle_alpha 90.00
_cell_angle_beta 106.37
_cell_angle_gamma 90.00
loop_
_space_group_symop_operation_xyz
'x,y,z'
'-x,-y,-z'
'-x,y,-z'
'x,-y,z'
'x+1/2,y+1/2,z'
'-x+1/2,-y+1/2,-z'
'-x+1/2,y+1/2,-z'
'x+1/2,-y+1/2,z'
loop_
_atom_site_label
_atom_site_type_symbol
_atom_site_fract_x
_atom_site_fract_y
_atom_site_fract_z
Np1 Np 0.000 0.000 0.000
Np2 Np 0.189 0.500 0.343
Np3 Np 0.198 0.500 0.851
Al1 Al 0.000 0.251 0.500
S1 S 0.002 0.500 0.701
S2 S 0.003 0.000 0.311
S3 S 0.152 0.248 0.071
S4 S 0.167 0.254 0.588

# Ta2TcAu GGA-PBE relaxed
# Calculated formation energy in kJ/mol of atoms: -7.0
# Crystal system: orthorhombic
# V in Å³/f.u.: 68.28
# Total moment in μB per formula unit: 0.00
# Energy above the lowest structure with this stoichiometry in meV per atom: 61
data_Ta2TcAu
_space_group_name_H-M_alt 'C m m m'
_space_group_IT_number 65
_space_group_name_Hall '-C 2 2'
_cell_length_a 5.828
_cell_length_b 7.378
_cell_length_c 3.176
_cell_angle_alpha 90.00
_cell_angle_beta 90.00
_cell_angle_gamma 90.00
loop_
_atom_site_label
_atom_site_type_symbol
_atom_site_fract_x
_atom_site_fract_y
_atom_site_fract_z
Ta1 Ta 0.250 0.250 0.000
Tc1 Tc 0.000 0.000 0.500
Au1 Au 0.000 0.500 0.500

# AsPBr2 GGA-PBE relaxed
# Crystal system: trigonal
# ΔE_f (raw) in eV per atom: 0.573
# V in Å³/f.u.: 93.29
# Total moment in μB per formula unit: 0.00
# Energy above the lowest structure with this stoichiometry in meV per atom: 736
data_AsPBr2
_space_group_name_H-M_alt 'R -3 m'
_space_group_IT_number 166
_space_group_name_Hall '-R 3 2"'
_cell_length_a 3.3495
_cell_length_b 3.3495
_cell_length_c 28.8054
_cell_angle_alpha 90.00
_cell_angle_beta 90.00
_cell_angle_gamma 120.00
loop_
_atom_site_label
_atom_site_type_symbol
_atom_site_fract_x
_atom_site_fract_y
_atom_site_fract_z
As1 As 0.0000 0.0000 0.0000
P1 P 0.0000 0.0000 0.5000
Br1 Br 0.0000 0.0000 0.4147

# RbAlInGe GGA-PBE relaxed
# Calculated formation energy in kJ/mol of atoms: -9.0
# Crystal system: tetragonal
# V in Å³/f.u.: 126.97
# Total moment in μB per formula unit: 0.00
data_RbAlInGe
_space_group_name_H-M_alt 'P 4/n m m'
_space_group_IT_number 129
_cell_length_a 4.171
_cell_length_b 4.171
_cell_length_c 14.594
_cell_angle_alpha 90.00
_cell_angle_beta 90.00
_cell_angle_gamma 90.00
loop_
_space_group_symop_operation_xyz
'x,y,z'
'-x,-y,-z'
'-y+1/2,x,z'
'y+1/2,-x,-z'
'-x+1/2,-y+1/2,z'
'x+1/2,y+1/2,-z'
'y,-x+1/2,z'
'-y,x+1/2,-z'
'x+1/2,-y,-z'
'-x+1/2,y,z'
'-y,-x,-z'
'y,x,z'
'-x,y+1/2,-z'
'x,-y+1/2,z'
'y+1/2,x+1/2,-z'
'-y+1/2,-x+1/2,z'
loop_
_atom_site_label
_atom_site_type_symbol
_atom_site_fract_x
_atom_site_fract_y
_atom_site_fract_z
Rb1 Rb 0.250 0.250 0.247
Al1 Al 0.250 0.750 0.000
In1 In 0.250 0.750 0.500
Ge1 Ge 0.250 0.250 0.888

# LuBe2Ru GGA-PBE relaxed
# Calculated formation energy in kJ/mol of atoms: -24.0
# Crystal system: tetragonal
# V in Å³/f.u.: 55.21
# Total moment in μB per formula unit: 0.00
data_LuBe2Ru
_space_group_name_H-M_alt 'P 4/m m m'
_space_group_IT_number 123
_space_group_name_Hall '-P 4 2'
_cell_length_a 3.088
_cell_length_b 3.088
_cell_length_c 5.790
_cell_angle_alpha 90.00
_cell_angle_beta 90.00
_cell_angle_gamma 90.00
loop_
_atom_site_label
_atom_site_type_symbol
_atom_site_fract_x
_atom_site_fract_y
_atom_site_fract_z
Lu1 Lu 0.000 0.000 0.000
Be1 Be 0.500 0.500 0.322
Ru1 Ru 0.000 0.000 0.500

# MgTlF3 GGA-PBE relaxed
# Crystal system: monoclinic
# ΔE_f (raw) in eV per atom: -2.685
# V in Å³/f.u.: 89.70
# Total moment in μB per formula unit: 0.00
data_MgTlF3
_space_group_name_H-M_alt 'C 1 2/m 1'
_space_group_IT_number 12
_cell_length_a 15.285
_cell_length_b 3.165
_cell_length_c 7.784
_cell_angle_alpha 90.00
_cell_angle_beta 107.69
_cell_angle_gamma 90.00
loop_
_space_group_symop_operation_xyz
'x,y,z'
'-x,-y,-z'
'-x,y,-z'
'x,-y,z'
'x+1/2,y+1/2,z'
'-x+1/2,-y+1/2,-z'
'-x+1/2,y+1/2,-z'
'x+1/2,-y+1/2,z'
loop_
_atom_site_label
_atom_site_type_symbol
_atom_site_fract_x
_atom_site_fract_y
_atom_site_fract_z
Mg1 Mg 0.167 0.000 0.339
Tl1 Tl 0.117 0.500 0.874
F1 F 0.085 0.500 0.217
F2 F 0.190 0.500 0.526
F3 F 0.210 0.000 0.124

# Ba3Ru3N5 GGA-PBE relaxed
# Crystal system: triclinic
# ΔE_f (raw) in eV per atom: -0.228
# V in Å³/f.u.: 202.01
# Total moment in μB per formula unit: 0.00
data_Ba3Ru3N5
_space_group_name_H-M_alt 'P -1'
_space_group_IT_number 2
_cell_length_a 6.123
_cell_length_b 8.119
_cell_length_c 9.154
_cell_angle_alpha 104.82
_cell_angle_beta 104.88
_cell_angle_gamma 103.03
loop_
_space_group_symop_operation_xyz
'x,y,z'
'-x,-y,-z'
loop_
_atom_site_label
_atom_site_type_symbol
_atom_site_fract_x
_atom_site_fract_y
_atom_site_fract_z
Ba1 Ba 0.155 0.362 0.380
Ba2 Ba 0.219 0.211 0.732
Ba3 Ba 0.257 0.927 0.112
Ru1 Ru 0.193 0.486 0.085
Ru2 Ru 0.393 0.836 0.489
Ru3 Ru 0.422 0.660 0.830
N1 N 0.162 0.561 0.896
N2 N 0.232 0.240 0.058
N3 N 0.255 0.028 0.429
N4 N 0.331 0.665 0.289
N5 N 0.353 0.735 0.651

# NdURh2 GGA-PBE relaxed
# Calculated formation energy in kJ/mol of atoms: -49.8
# Crystal system: tetragonal
# V in Å³/f.u.: 84.57
# Total moment in μB per formula unit: 1.72
data_NdURh2
_space_group_name_H-M_alt 'P 4/m m m'
_space_group_IT_number 123
_space_group_name_Hall '-P 4 2'
_cell_length_a 3.422
_cell_length_b 3.422
_cell_length_c 7.222
_cell_angle_alpha 90.00
_cell_angle_beta 90.00
_cell_angle_gamma 90.00
loop_
_atom_site_label
_atom_site_type_symbol
_atom_site_fract_x
_atom_site_fract_y
_atom_site_fract_z
Nd1 Nd 0.000 0.000 0.000
U1 U 0.000 0.000 0.500
Rh1 Rh 0.500 0.500 0.290

# NaZn2PN4 GGA-PBE relaxed
# Crystal system: orthorhombic
# ΔE_f (raw) in eV per atom: -0.090
# V in Å³/f.u.: 97.50
# Total moment in μB per formula unit: 1.96
data_NaZn2PN4
_space_group_name_H-M_alt 'P m n 21'
_space_group_IT_number 31
_cell_length_a 6.902
_cell_length_b 5.363
_cell_length_c 5.267
_cell_angle_alpha 90.00
_cell_angle_beta 90.00
_cell_angle_gamma 90.00
loop_
_space_group_symop_operation_xyz
'x,y,z'
'-x+1/2,-y,z+1/2'
'-x,y,z'
'x+1/2,-y,z+1/2'
loop_
_atom_site_label
_atom_site_type_symbol
_atom_site_fract_x
_atom_site_fract_y
_atom_site_fract_z
Na1 Na 0.000 0.197 0.000
Zn1 Zn 0.248 0.306 0.506
P1 P 0.000 0.800 0.511
N1 N 0.000 0.103 0.464
N2 N 0.000 0.772 0.822
N3 N 0.184 0.658 0.380

# Ba2LiCu3Sb4 GGA-PBE relaxed
# Crystal system: tetragonal
# ΔE_f (raw) in eV per atom: -0.555
# V in Å³/f.u.: 246.80
# Total moment in μB per formula unit: 0.00
data_Ba2LiCu3Sb4
_space_group_name_H-M_alt 'P -4 m 2'
_space_group_IT_number 115
_cell_length_a 4.753
_cell_length_b 4.753
_cell_length_c 10.927
_cell_angle_alpha 90.00
_cell_angle_beta 90.00
_cell_angle_gamma 90.00
loop_
_space_group_symop_operation_xyz
'x,y,z'
'y,-x,-z'
'-x,-y,z'
'-y,x,-z'
'-x,y,z'
'-y,-x,-z'
'x,-y,z'
'y,x,-z'
loop_
_atom_site_label
_atom_site_type_symbol
_atom_site_fract_x
_atom_site_fract_y
_atom_site_fract_z
Ba1 Ba 0.000 0.500 0.242
Li1 Li 0.500 0.500 0.000
Cu1 Cu 0.000 0.000 0.000
Cu2 Cu 0.000 0.500 0.626
Sb1 Sb 0.000 0.000 0.500
Sb2 Sb 0.000 0.500 0.870
Sb3 Sb 0.500 0.500 0.500

# ErSb2 GGA-PBE relaxed
# Crystal system: trigonal
# ΔE_f (raw) in eV per atom: -0.366
# V in Å³/f.u.: 91.96
# Total moment in μB per formula unit: 0.00
data_ErSb2
_space_group_name_H-M_alt 'R -3 m'
_space_group_IT_number 166
_space_group_name_Hall '-R 3 2"'
_cell_length_a 5.2003
_cell_length_b 5.2003
_cell_length_c 23.5599
_cell_angle_alpha 90.00
_cell_angle_beta 90.00
_cell_angle_gamma 120.00
loop_
_atom_site_label
_atom_site_type_symbol
_atom_site_fract_x
_atom_site_fract_y
_atom_site_fract_z
Er1 Er 0.0000 0.0000 0.0779
Sb1 Sb 0.0000 0.0000 0.2193
Sb2 Sb 0.0000 0.0000 0.3453

# ReW3Au GGA-PBE relaxed
# Calculated formation energy in kJ/mol of atoms: 294.9
# Crystal system: cubic
# V in Å³/f.u.: 106.48
# Total moment in μB per formula unit: 0.00
# Energy above the lowest structure with this stoichiometry in meV per atom: 1069
data_ReW3Au
_space_group_name_H-M_alt 'P m -3 m'
_space_group_IT_number 221
_space_group_name_Hall '-P 4 2 3'
_cell_length_a 4.740
_cell_length_b 4.740
_cell_length_c 4.740
_cell_angle_alpha 90.00
_cell_angle_beta 90.00
_cell_angle_gamma 90.00
loop_
_atom_site_label
_atom_site_type_symbol
_atom_site_fract_x
_atom_site_fract_y
_atom_site_fract_z
Re1 Re 0.000 0.000 0.000
W1 W 0.000 0.500 0.500
Au1 Au 0.500 0.500 0.500

# AcTmThMg GGA-PBE relaxed
# Calculated formation energy in kJ/mol of atoms: 11.4
# Crystal system: cubic
# V in Å³/f.u.: 129.71
# Total moment in μB per formula unit: 0.00
data_AcTmThMg
_space_group_name_H-M_alt 'F -4 3 m'
_space_group_IT_number 216
_space_group_name_Hall 'F -4 2 3'
_cell_length_a 8.036
_cell_length_b 8.036
_cell_length_c 8.036
_cell_angle_alpha 90.00
_cell_angle_beta 90.00
_cell_angle_gamma 90.00
loop_
_atom_site_label
_atom_site_type_symbol
_atom_site_fract_x
_atom_site_fract_y
_atom_site_fract_z
Ac1 Ac 0.000 0.000 0.000
Tm1 Tm 0.250 0.250 0.750
Th1 Th 0.000 0.000 0.500
Mg1 Mg 0.250 0.250 0.250

# YIn2Pd GGA-PBE relaxed
# Calculated formation energy in kJ/mol of atoms: -48.7
# Crystal system: tetragonal
# V in Å³/f.u.: 89.73
# Total moment in μB per formula unit: 0.00
data_YIn2Pd
_space_group_name_H-M_alt 'P 4/m m m'
_space_group_IT_number 123
_space_group_name_Hall '-P 4 2'
_cell_length_a 4.366
_cell_length_b 4.366
_cell_length_c 4.707
_cell_angle_alpha 90.00
_cell_angle_beta 90.00
_cell_angle_gamma 90.00
loop_
_atom_site_label
_atom_site_type_symbol
_atom_site_fract_x
_atom_site_fract_y
_atom_site_fract_z
Y1 Y 0.000 0.000 0.000
In1 In 0.000 0.500 0.500
Pd1 Pd 0.500 0.500 0.000

# SrSi2Sb GGA-PBE relaxed
# Crystal system: monoclinic
# ΔE_f (raw) in eV per atom: -0.109
# V in Å³/f.u.: 104.41
# Total moment in μB per formula unit: 0.00
data_SrSi2Sb
_space_group_name_H-M_alt 'P 1 m 1'
_space_group_IT_number 6
_cell_length_a 5.303
_cell_length_b 3.836
_cell_length_c 5.545
_cell_angle_alpha 90.00
_cell_angle_beta 112.21
_cell_angle_gamma 90.00
loop_
_space_group_symop_operation_xyz
'x,y,z'
'x,-y,z'
loop_
_atom_site_label
_atom_site_type_symbol
_atom_site_fract_x
_atom_site_fract_y
_atom_site_fract_z
Sr1 Sr 0.000 0.000 0.000
Si1 Si 0.527 0.500 0.108
Si2 Si 0.688 0.000 0.395
Sb1 Sb 0.378 0.500 0.589